Record 1
The following is a PBEsol calculation of crystalline LiPbBr2 at its relaxed geometry, from Alexandria via LeMat-Bulk.

**V**: 102 Å³/cell
**Magnetization**: 0.0 μB per formula unit
**E above lowest polymorph**: 276 meV/atom
**DOS at the Fermi energy**: 1.544 states/eV/f.u.
**Total DFT energy (no corrections)**: -0.228 Ry/atom

```
LiPbBr2
1.0
5.246 0.000 0.000
2.623 4.543 0.000
2.623 1.514 4.283
Br Li Pb
2 1 1
Cartesian
2.623 1.514 1.071
7.869 4.543 3.213
0.000 0.000 0.000
5.246 3.029 2.142
```


Record 2
The following is a PBEsol calculation of crystalline Li2PbBr at its relaxed geometry, from Alexandria via LeMat-Bulk.

**V**: 88 Å³/cell
**Magnetization**: 0.0 μB per formula unit
**E above lowest polymorph**: 182 meV/atom
**DOS at the Fermi energy**: 1.251 states/eV/f.u.
**Total DFT energy (no corrections)**: -0.220 Ry/atom

```
Li2PbBr
1.0
-2.177 2.396 1.103
-3.818 -3.487 0.042
2.129 -0.233 4.707
Br Li Pb
1 2 1
Cartesian
-1.933 -0.662 2.926
-1.909 -1.744 0.021
1.064 -0.116 2.354
-1.088 1.198 0.551
```


Record 3
The following is a PBEsol calculation of crystalline Li2PbBr at its relaxed geometry, from Alexandria via LeMat-Bulk.

**V**: 91 Å³/cell
**Magnetization**: 0.0 μB per formula unit
**E above lowest polymorph**: 328 meV/atom
**DOS at the Fermi energy**: 1.068 states/eV/f.u.
**Total DFT energy (no corrections)**: -0.209 Ry/atom

```
Li2PbBr
1.0
4.545 0.000 0.000
0.000 4.545 0.000
-2.272 -2.272 4.409
Br Li Pb
1 2 1
Cartesian
0.000 0.000 0.000
2.272 0.000 2.204
0.000 2.272 2.204
2.272 2.272 0.000
```


Record 4
The following is a PBEsol calculation of crystalline Li2PbBr at its relaxed geometry, from Alexandria via LeMat-Bulk.

**V**: 89 Å³/cell
**Magnetization**: 0.0 μB per formula unit
**E above lowest polymorph**: 0 meV/atom
**DOS at the Fermi energy**: 1.012 states/eV/f.u.
**Total DFT energy (no corrections)**: -0.233 Ry/atom

```
Li2PbBr
1.0
-2.679 -1.890 -0.919
2.854 -1.656 -0.837
0.045 -3.581 7.237
Br Li Pb
1 2 1
Cartesian
0.088 -1.773 -0.878
0.009 -0.742 1.500
0.036 -2.839 5.737
0.111 -3.564 2.740
```


Record 5
The following is a PBEsol calculation of crystalline LiPbBr2 at its relaxed geometry, from Alexandria via LeMat-Bulk.

**V**: 121 Å³/cell
**Magnetization**: 0.0 μB per formula unit
**E above lowest polymorph**: 86 meV/atom
**DOS at the Fermi energy**: 1.000 states/eV/f.u.
**Total DFT energy (no corrections)**: -0.242 Ry/atom

```
LiPbBr2
1.0
-1.100 2.801 -1.957
-0.312 -2.370 -3.217
-7.405 -3.108 3.006
Br Li Pb
2 1 1
Cartesian
-7.335 -1.574 1.870
-2.536 -1.696 -1.002
-1.049 -0.225 0.268
-5.305 -2.290 -0.296
```


Record 6
The following is a PBEsol calculation of crystalline Li2TePbBr at its relaxed geometry, from Alexandria via LeMat-Bulk.

**V**: 177 Å³/cell
**Magnetization**: 0.0 μB per formula unit
**DOS at the Fermi energy**: 2.381 states/eV/f.u.
**Total DFT energy (no corrections)**: -0.197 Ry/atom

```
Li2TePbBr
1.0
-2.126 -4.791 -1.447
4.084 -2.701 2.943
-3.312 0.064 4.655
Pb Te Br Li
1 1 1 2
Cartesian
0.000 0.000 0.000
-1.063 -2.396 -0.724
-0.677 -3.714 3.075
-1.656 0.032 2.327
2.042 -1.351 1.472
```


> Which of these has the lowest V?

number 2